Ti3Tl2Br10 | PBE-GGA | optimized geometry

Cell and atoms, written as POSCAR:
```
Ti3Tl2Br10
1.0
12.485 -3.764 0.000
12.485 3.764 0.000
-3.823 0.000 9.682
Ti Tl Br
6 4 20
Cartesian
0.038 0.000 4.628
4.324 0.000 0.259
12.485 1.956 0.000
12.485 -1.956 0.000
16.824 0.000 9.422
21.109 0.000 5.054
3.667 0.000 6.473
8.020 0.000 2.647
13.127 0.000 7.035
17.481 0.000 3.208
6.243 1.882 0.000
-0.297 0.000 1.911
6.926 1.906 5.200
0.363 0.000 7.278
6.065 1.884 9.289
4.740 0.000 2.751
10.574 1.999 4.841
15.083 1.884 0.393
14.222 1.906 4.482
8.927 0.000 7.962
6.243 -1.882 0.000
12.220 0.000 1.719
6.926 -1.906 5.200
6.065 -1.884 9.289
10.574 -1.999 4.841
16.408 0.000 6.931
15.083 -1.884 0.393
20.785 0.000 2.404
14.222 -1.906 4.482
21.444 0.000 7.771
```

Calculated values
The calculation puts the volume at 30.34 A^3/atom. Its density of states at the Fermi level is 22.3 states/eV/cell. The energy relative to the elements, uncorrected comes out at -1.04 eV/atom. Its symmetry is C2/m (12).